(1)
Compound: CaAgBPd2
Source: Alexandria via LeMat-Bulk
Functional: PBE
Structure: relaxed

Cell and atoms, written as CIF:
```
data_CaAgBPd2
_space_group_name_H-M_alt 'P 4/m m m'
_space_group_IT_number 123
_space_group_name_Hall '-P 4 2'
_cell_length_a 4.320
_cell_length_b 4.320
_cell_length_c 4.496
_cell_angle_alpha 90.00
_cell_angle_beta 90.00
_cell_angle_gamma 90.00
loop_
_atom_site_label
_atom_site_type_symbol
_atom_site_fract_x
_atom_site_fract_y
_atom_site_fract_z
Ca1 Ca 0.000 0.000 0.000
Ag1 Ag 0.500 0.500 0.000
B1 B 0.500 0.500 0.500
Pd1 Pd 0.000 0.500 0.500
```

Values from the calculation:
N(E_F) = 2.71 states/eV/cell
formation energy from the elements = -0.323 eV per atom
volume = 16.78 Å³/atom
raw total energy = -4.71 eV per atom
M_tot = 0.00 μB per formula unit

(2)
Compound: CaAgBRh2
Source: Alexandria via LeMat-Bulk
Functional: PBE
Structure: relaxed

Cell and atoms, written as CIF:
```
data_CaAgBRh2
_space_group_name_H-M_alt 'P 4/m m m'
_space_group_IT_number 123
_space_group_name_Hall '-P 4 2'
_cell_length_a 4.233
_cell_length_b 4.233
_cell_length_c 4.399
_cell_angle_alpha 90.00
_cell_angle_beta 90.00
_cell_angle_gamma 90.00
loop_
_atom_site_label
_atom_site_type_symbol
_atom_site_fract_x
_atom_site_fract_y
_atom_site_fract_z
Ca1 Ca 0.000 0.000 0.000
Ag1 Ag 0.500 0.500 0.000
B1 B 0.500 0.500 0.500
Rh1 Rh 0.000 0.500 0.500
```

Values from the calculation:
N(E_F) = 1.13 states/eV/cell
formation energy from the elements = -0.330 eV per atom
volume = 15.76 Å³/atom
raw total energy = -5.58 eV per atom
M_tot = 0.00 μB per formula unit